Entry 1:
Entry from the Alexandria database: a relaxed structure of PrSm2Sn2 (GGA-PBE).

Lattice parameters (Å, degrees): 5.2009 5.2009 13.1348 90.00 90.00 120.00
Atoms (fractional coordinates):
Pr (0.0000, 0.0000, 0.2500)
Pr (0.0000, 0.0000, 0.7500)
Sm (0.0000, 0.0000, 0.0000)
Sm (0.0000, 0.0000, 0.5000)
Sm (0.3333, 0.6667, 0.2500)
Sm (0.6667, 0.3333, 0.7500)
Sn (0.3333, 0.6667, 0.6273)
Sn (0.3333, 0.6667, 0.8727)
Sn (0.6667, 0.3333, 0.1273)
Sn (0.6667, 0.3333, 0.3727)

## Properties
Formation enthalpy at 0 K, eV per atom: -0.286
Theoretical density, g/cm3: 7.329
N(E_F), states/eV/f.u.: 5.29
E above lowest polymorph, eV per atom: 0.232
M_tot, μB per cell: 0.00
Crystal system: hexagonal

=====

Entry 2:
Entry from the Alexandria database: a relaxed structure of Cs2HfVAs (GGA-PBE).

Lattice parameters (Å, degrees): 6.0617 6.0617 5.0004 90.00 90.00 90.00
Atoms (fractional coordinates):
Cs (0.0000, 0.5000, 0.0000)
Cs (0.5000, 0.0000, 0.0000)
Hf (0.0000, 0.0000, 0.5000)
V (0.0000, 0.0000, 0.0000)
As (0.5000, 0.5000, 0.5000)

## Properties
Formation enthalpy at 0 K, eV per atom: 1.365
Theoretical density, g/cm3: 5.153
N(E_F), states/eV/f.u.: 5.08
M_tot, μB per cell: 3.11
Crystal system: tetragonal

=====

Entry 3:
Entry from the Alexandria database: a relaxed structure of NaSb3Mo (GGA-PBE).

Lattice parameters (Å, degrees): 5.3259 5.3259 5.3259 90.00 90.00 90.00
Atoms (fractional coordinates):
Na (0.0000, 0.0000, 0.0000)
Sb (0.0000, 0.5000, 0.5000)
Sb (0.5000, 0.0000, 0.5000)
Sb (0.5000, 0.5000, 0.0000)
Mo (0.5000, 0.5000, 0.5000)

## Properties
Theoretical density, g/cm3: 5.322
Uncorrected formation energy, meV per atom: 283
N(E_F), states/eV/f.u.: 8.24
E above lowest polymorph, eV per atom: 0.000
M_tot, μB per cell: 0.00
Crystal system: cubic

=====

Entry 4:
Entry from the Alexandria database: a relaxed structure of DyErCdOs (GGA-PBE).

Lattice parameters (Å, degrees): 3.4338 3.4338 7.7467 90.00 90.00 90.00
Atoms (fractional coordinates):
Dy (0.0000, 0.0000, 0.0000)
Er (0.0000, 0.0000, 0.5745)
Cd (0.5000, 0.5000, 0.2906)
Os (0.5000, 0.5000, 0.7847)

## Properties
Formation enthalpy at 0 K, eV per atom: -0.329
Theoretical density, g/cm3: 11.497
N(E_F), states/eV/f.u.: 2.60
E above lowest polymorph, eV per atom: 0.000
M_tot, μB per cell: 0.00
Crystal system: tetragonal